(w)
NaTiRe2 | GGA-PBE | optimized geometry

Cell: 3.891 3.891 10.030 Å, 78.81 78.81 90.00°
Sites, in units of the cell vectors:
Re 0.062 0.125 0.250
Re 0.688 0.625 0.250
Re 0.375 0.938 0.750
Re 0.875 0.312 0.750
Na 0.500 0.500 0.000
Na 0.250 0.750 0.500
Ti 0.000 0.000 0.000
Ti 0.750 0.250 0.500

**Spin magnetization**: 0.00 μB/f.u.

=====

(x)
NaTiRe2 | GGA-PBE | optimized geometry

Cell: 4.468 4.468 4.468 Å, 60.00 60.00 60.00°
Sites, in units of the cell vectors:
Re 0.250 0.250 0.250
Re 0.750 0.750 0.750
Na 0.000 0.000 0.000
Ti 0.500 0.500 0.500

**Spin magnetization**: 0.00 μB/f.u.

=====

What is the most stable structure shown above? It is (x).